1.
Material: Mn2TeRh
Method: DFT, PBE-GGA
State: optimized geometry

Summary:
Calculated total energy (eV/atom): -7.1382
SG: I4/mmm (139)

Lattice parameters (Å, degrees): 4.9367 4.9367 4.9360 132.14 132.14 70.03
Each line ends with the local moment (μB).
Positions (direct):
Mn1 0.0000 0.0000 0.0000  3.56
Mn2 0.5000 0.5000 0.0000  3.56
Rh1 0.7500 0.2500 0.5000  0.42
Te1 0.2500 0.7500 0.5000  -0.05

---

2.
Material: Mn2TeRh
Method: DFT, PBE-GGA
State: optimized geometry

Summary:
Calculated total energy (eV/atom): -6.8083
SG: R3m (160)

Lattice parameters (Å, degrees): 8.5646 8.5646 8.5646 20.83 20.83 20.83
Each line ends with the local moment (μB).
Positions (direct):
Mn1 0.9962 0.9962 0.9962  3.47
Mn2 0.2465 0.2465 0.2465  3.48
Rh1 0.5046 0.5046 0.5046  0.05
Te1 0.7526 0.7526 0.7526  -0.01

---

3.
Material: MnTe3Rh
Method: DFT, PBE-GGA
State: optimized geometry

Summary:
Calculated total energy (eV/atom): -4.3607
Relative energy among the computed polymorphs (kcal/mol of atoms): 22.63
SG: Pm-3m (221)

Lattice parameters (Å, degrees): 4.9060 4.9060 4.9060 90.00 90.00 90.00
Positions (direct):
Te1 0.0000 0.5000 0.0000
Te2 0.0000 0.0000 0.5000
Te3 0.5000 0.0000 0.0000
Rh1 0.5000 0.5000 0.5000
Mn1 0.0000 0.0000 0.0000

---

4.
Material: MnTeRh
Method: DFT, PBE-GGA
State: optimized geometry

Summary:
Calculated total energy (eV/atom): -6.4983
SG: P-6m2 (187)

Lattice parameters (Å, degrees): 4.4658 4.4658 3.1208 90.00 90.00 120.00
Each line ends with the local moment (μB).
Positions (direct):
Mn1 0.0000 0.0000 0.0001  3.81
Rh1 0.6667 0.3333 0.5004  0.28
Te1 0.3333 0.6667 0.4994  -0.01

---

5.
Material: MnTe3Rh
Method: DFT, PBE-GGA
State: optimized geometry

Summary:
Calculated total energy (eV/atom): -5.3418
Relative energy among the computed polymorphs (kcal/mol of atoms): 0.00
SG: C2/c (15)

Lattice parameters (Å, degrees): 7.2420 8.6289 8.6289 89.07 85.69 85.69
Each line ends with the local moment (μB).
Positions (direct):
Mn1 0.2500 0.2347 0.7653  3.93
Mn2 0.7500 0.7653 0.2347  3.93
Mn3 0.2500 0.9286 0.0714  3.94
Mn4 0.7500 0.0714 0.9286  3.94
Te1 0.0862 0.6440 0.1033  -0.02
Te2 0.4138 0.8967 0.3560  -0.02
Te3 0.9138 0.3560 0.8967  -0.02
Te4 0.5862 0.1033 0.6440  -0.02
Te5 0.7221 0.4440 0.3138  0.03
Te6 0.7779 0.6862 0.5560  0.03
Te7 0.2779 0.5560 0.6862  0.03
Te8 0.2221 0.3138 0.4440  0.03
Te9 0.6093 0.7835 0.9359  0.00
Te10 0.8907 0.0641 0.2165  0.00
Te11 0.3907 0.2165 0.0641  0.00
Te12 0.1093 0.9359 0.7835  0.00
Rh1 0.4511 0.8198 0.6555  0.16
Rh2 0.0489 0.3445 0.1802  0.16
Rh3 0.5489 0.1802 0.3445  0.16
Rh4 0.9511 0.6555 0.8198  0.16

---

6.
Material: MnTeRh
Method: DFT, PBE-GGA
State: optimized geometry

Summary:
Calculated total energy (eV/atom): -6.3736
SG: P3m1 (156)

Lattice parameters (Å, degrees): 3.3142 3.3142 5.9355 90.00 90.00 120.00
Each line ends with the local moment (μB).
Positions (direct):
Mn1 0.0000 0.0000 0.0256  3.76
Rh1 0.3333 0.6667 0.3210  0.29
Te1 0.6667 0.3333 0.6534  -0.05

---

7.
Material: MnTeRh4
Method: DFT, PBE-GGA
State: optimized geometry

Summary:
Calculated total energy (eV/atom): -6.7306
SG: F-43m (216)

Lattice parameters (Å, degrees): 5.2097 5.2097 5.2097 60.00 60.00 60.00
Each line ends with the local moment (μB).
Positions (direct):
Mn1 0.0000 0.0000 0.0000  4.06
Te1 0.7500 0.7500 0.7500  0.00
Rh1 0.8759 0.3747 0.3747  0.13
Rh2 0.3747 0.3747 0.8759  0.13
Rh3 0.3747 0.8759 0.3747  0.13
Rh4 0.3747 0.3747 0.3747  0.13

---

8.
Material: Mn2TeRh
Method: DFT, PBE-GGA
State: optimized geometry

Summary:
Calculated total energy (eV/atom): -7.0655
SG: Pm (6)

Lattice parameters (Å, degrees): 4.1111 3.2958 5.4554 72.53 90.00 90.00
Each line ends with the local moment (μB).
Positions (direct):
Mn1 0.0000 0.9565 0.9633  3.65
Mn2 0.5000 0.2850 0.3047  3.82
Rh1 0.0000 0.7105 0.4523  0.49
Te1 0.5000 0.5480 0.7797  -0.07

---

9.
Material: Mn2TeRh
Method: DFT, PBE-GGA
State: optimized geometry

Summary:
Calculated total energy (eV/atom): -6.9285
SG: I-42d (122)

Lattice parameters (Å, degrees): 7.2257 7.2257 5.7714 51.25 51.25 90.00
Each line ends with the local moment (μB).
Positions (direct):
Te1 0.0000 0.0000 0.0000  -0.09
Te2 0.7500 0.2500 0.5000  -0.09
Rh1 0.5000 0.5000 0.0000  0.18
Rh2 0.2500 0.7500 0.5000  0.18
Mn1 0.6107 0.1250 0.2500  3.38
Mn2 0.1393 0.6250 0.2500  3.36
Mn3 0.3750 0.3893 0.7500  3.33
Mn4 0.8750 0.8607 0.7500  3.38

---

10.
Material: MnTeRh3
Method: DFT, PBE-GGA
State: optimized geometry

Summary:
Calculated total energy (eV/atom): -5.9977
Relative energy among the computed polymorphs (kcal/mol of atoms): 1.95
SG: Pm-3m (221)

Lattice parameters (Å, degrees): 4.7987 4.7987 4.7987 90.00 90.00 90.00
Each line ends with the local moment (μB).
Positions (direct):
Te1 0.0000 0.0000 0.0000  0.04
Rh1 0.0000 0.5000 0.0000  0.32
Rh2 0.0000 0.0000 0.5000  0.14
Rh3 0.5000 0.0000 0.0000  0.49
Mn1 0.5000 0.5000 0.5000  4.43

---

11.
Material: Mn2TeRh
Method: DFT, PBE-GGA
State: optimized geometry

Summary:
Calculated total energy (eV/atom): -7.0746
SG: F-43m (216)

Lattice parameters (Å, degrees): 4.3834 4.3834 4.3834 60.00 60.00 60.00
Each line ends with the local moment (μB).
Positions (direct):
Mn1 0.0000 0.0000 0.0000  0.93
Mn2 0.2500 0.2500 0.2500  3.41
Rh1 0.5000 0.5000 0.5000  0.44
Te1 0.7500 0.7500 0.7500  0.02

---

12.
Material: Mn3TeRh
Method: DFT, PBE-GGA
State: optimized geometry

Summary:
Calculated total energy (eV/atom): -6.9305
Relative energy among the computed polymorphs (kcal/mol of atoms): 0.00
SG: Pm-3m (221)

Lattice parameters (Å, degrees): 4.8353 4.8353 4.8353 90.00 90.00 90.00
Each line ends with the local moment (μB).
Positions (direct):
Te1 0.5000 0.5000 0.5000  0.01
Rh1 0.0000 0.0000 0.0000  0.63
Mn1 0.0000 0.5000 0.0000  4.04
Mn2 0.0000 0.0000 0.5000  4.08
Mn3 0.5000 0.0000 0.0000  4.09

---

13.
Material: Mn3Te8Rh2
Method: DFT, PBE-GGA
State: optimized geometry

Summary:
Calculated total energy (eV/atom): -5.3889
SG: C2/m (12)

Lattice parameters (Å, degrees): 6.7981 7.9052 7.9052 59.34 73.38 73.38
Each line ends with the local moment (μB).
Positions (direct):
Mn1 0.5000 0.0000 0.0000  3.97
Mn2 0.0000 0.2544 0.7456  3.20
Mn3 0.0000 0.7456 0.2544  3.20
Te1 0.7732 0.6244 0.6244  -0.10
Te2 0.2268 0.3756 0.3756  -0.10
Te3 0.7710 0.1192 0.1192  -0.10
Te4 0.2290 0.8808 0.8808  -0.10
Te5 0.7776 0.6314 0.1090  -0.05
Te6 0.7776 0.1090 0.6314  -0.05
Te7 0.2224 0.8910 0.3686  -0.05
Te8 0.2224 0.3686 0.8910  -0.05
Rh1 0.9866 0.2531 0.2531  0.04
Rh2 0.0134 0.7469 0.7469  0.04

---

14.
Material: Mn2TeRh
Method: DFT, PBE-GGA
State: optimized geometry

Summary:
Calculated total energy (eV/atom): -6.9226
SG: R-3m (166)

Lattice parameters (Å, degrees): 7.9282 7.9282 7.9282 23.92 23.92 23.92
Each line ends with the local moment (μB).
Positions (direct):
Mn1 0.9942 0.9942 0.9942  3.62
Mn2 0.5058 0.5058 0.5058  3.62
Rh1 0.2500 0.2500 0.2500  0.81
Te1 0.7500 0.7500 0.7500  -0.15

---

15.
Material: YMnTe2Rh
Method: DFT, PBE-GGA
State: optimized geometry

Summary:
Calculated total energy (eV/atom): -5.2591
SG: P4/mmm (123)

Lattice parameters (Å, degrees): 5.8222 4.8834 5.8222 90.00 90.00 90.00
Each line ends with the local moment (μB).
Positions (direct):
Y1 0.0000 0.0000 0.0000  0.01
Te1 0.0000 0.0000 0.5000  0.00
Te2 0.5000 0.0000 0.0000  0.02
Rh1 0.0000 0.5000 0.0000  -0.04
Mn1 0.5000 0.5000 0.5000  4.47

---

16.
Material: Th2MnRh9
Method: DFT, PBE-GGA
State: optimized geometry

Summary:
Calculated total energy (eV/atom): -7.9988
Energy relative to the elements (eV per atom): -0.484
SG: P4/mmm (123)

Lattice parameters (Å, degrees): 4.0573 4.0573 12.0055 90.00 90.00 90.00
Each line ends with the local moment (μB).
Positions (direct):
Th1 0.0000 0.0000 0.3259  0.02
Th2 0.0000 0.0000 0.6741  0.02
Mn1 0.0000 0.0000 0.0000  3.53
Rh1 0.5000 0.5000 0.0000  -0.01
Rh2 0.5000 0.5000 0.3238  0.00
Rh3 0.5000 0.5000 0.6762  0.00
Rh4 0.5000 0.0000 0.1474  0.06
Rh5 0.5000 0.0000 0.5000  -0.01
Rh6 0.5000 0.0000 0.8526  0.06
Rh7 0.0000 0.5000 0.1474  0.06
Rh8 0.0000 0.5000 0.5000  -0.01
Rh9 0.0000 0.5000 0.8526  0.06

---

17.
Material: Ti2MnRh3
Method: DFT, PBE-GGA
State: optimized geometry

Summary:
Calculated total energy (eV/atom): -8.4800
Energy relative to the elements (eV per atom): -0.644
Relative energy among the computed polymorphs (kcal/mol of atoms): 0.00
SG: Cmmm (65)

Lattice parameters (Å, degrees): 3.4126 4.1272 6.5444 108.38 90.00 90.00
Each line ends with the local moment (μB).
Positions (direct):
Ti1 0.0000 0.3390 0.6780  -0.10
Ti2 0.0000 0.6610 0.3220  -0.10
Mn1 0.0000 0.0000 0.0000  3.51
Rh1 0.5000 0.5000 0.0000  0.22
Rh2 0.5000 0.8320 0.6640  0.14
Rh3 0.5000 0.1680 0.3360  0.14

---

18.
Material: TiMnRh2
Method: DFT, PBE-GGA
State: optimized geometry

Summary:
Calculated total energy (eV/atom): -7.8639
Energy relative to the elements (eV per atom): 0.078
SG: I-42d (122)

Lattice parameters (Å, degrees): 3.8658 3.8658 8.8716 77.42 77.42 90.00
Each line ends with the local moment (μB).
Positions (direct):
Mn1 0.0000 0.0000 0.0000  3.04
Mn2 0.7500 0.2500 0.5000  3.03
Rh1 0.6324 0.1250 0.2500  0.07
Rh2 0.1176 0.6250 0.2500  0.07
Rh3 0.3750 0.3676 0.7500  0.08
Rh4 0.8750 0.8824 0.7500  0.08
Ti1 0.5000 0.5000 0.0000  -0.35
Ti2 0.2500 0.7500 0.5000  -0.35

---

19.
Material: Ti6MnRh5
Method: DFT, PBE-GGA
State: optimized geometry

Summary:
Calculated total energy (eV/atom): -8.4616
Energy relative to the elements (eV per atom): -0.687
SG: Cmmm (65)

Lattice parameters (Å, degrees): 4.3004 6.3565 6.7925 90.00 71.55 90.00
Positions (direct):
Mn1 0.0000 0.0000 0.0000
Rh1 0.6669 0.5000 0.6663
Rh2 0.3318 0.0000 0.3365
Rh3 0.0000 0.5000 0.0000
Rh4 0.6682 0.0000 0.6635
Rh5 0.3331 0.5000 0.3337
Ti1 0.8379 0.7544 0.3242
Ti2 0.8379 0.2456 0.3242
Ti3 0.5000 0.2396 0.0000
Ti4 0.5000 0.7604 0.0000
Ti5 0.1621 0.7544 0.6758
Ti6 0.1621 0.2456 0.6758

---

20.
Material: Ti5MnRh6
Method: DFT, PBE-GGA
State: optimized geometry

Summary:
Calculated total energy (eV/atom): -8.4214
Energy relative to the elements (eV per atom): -0.692
SG: P2/m (10)

Lattice parameters (Å, degrees): 4.4943 5.9268 6.8262 90.00 101.94 90.00
Each line ends with the local moment (μB).
Positions (direct):
Mn1 0.0000 0.0000 0.0000  3.65
Rh1 0.8088 0.7511 0.6550  0.06
Rh2 0.8088 0.2489 0.6550  0.06
Rh3 0.5000 0.2532 0.0000  0.13
Rh4 0.5000 0.7468 0.0000  0.13
Rh5 0.1912 0.7511 0.3450  0.06
Rh6 0.1912 0.2489 0.3450  0.06
Ti1 0.6812 0.5000 0.3294  -0.03
Ti2 0.3159 0.0000 0.6793  -0.07
Ti3 0.0000 0.5000 0.0000  -0.03
Ti4 0.6841 0.0000 0.3207  -0.07
Ti5 0.3188 0.5000 0.6706  -0.03